# 1
# Y5ErTm3 | Alexandria via LeMat-Bulk | GGA-PBE | optimized geometry
data_Y5ErTm3
_chemical_formula_sum 'Y10 Er2 Tm6'
_cell_length_a 9.682
_cell_length_b 9.682
_cell_length_c 6.973
_cell_angle_alpha 79.65
_cell_angle_beta 79.65
_cell_angle_gamma 63.81
_space_group_name_H-M_alt 'P 1'
_space_group_IT_number 1
_space_group_name_Hall 'P 1'
loop_
_atom_site_label
_atom_site_fract_x
_atom_site_fract_y
_atom_site_fract_z
_atom_site_occupancy
Y1 0.988 0.656 0.089 1
Y2 0.656 0.988 0.589 1
Y3 0.012 0.344 0.911 1
Y4 0.657 0.988 0.089 1
Y5 0.316 0.684 0.750 1
Y6 0.988 0.657 0.589 1
Y7 0.344 0.012 0.411 1
Y8 0.012 0.343 0.411 1
Y9 0.684 0.316 0.250 1
Y10 0.343 0.012 0.911 1
Tm1 0.000 0.000 0.000 1
Tm2 0.344 0.343 0.078 1
Tm3 0.000 0.000 0.500 1
Tm4 0.656 0.657 0.922 1
Tm5 0.657 0.656 0.422 1
Tm6 0.343 0.344 0.578 1
Er1 0.687 0.313 0.750 1
Er2 0.313 0.687 0.250 1
# E above lowest polymorph = 0.062 eV per atom
# SG = C2/c
# Magnetization = 0.00 μB per cell
# N(E_F) = 32.16 states/eV per cell
# Calculated formation energy = 0.118 eV per atom


# 2
# MnTl2Ir | Alexandria via LeMat-Bulk | GGA-PBE | optimized geometry
data_MnTl2Ir
_chemical_formula_sum 'Mn1 Tl2 Ir1'
_cell_length_a 4.853
_cell_length_b 4.853
_cell_length_c 3.319
_cell_angle_alpha 90.00
_cell_angle_beta 90.00
_cell_angle_gamma 101.85
_space_group_name_H-M_alt 'P 1'
_space_group_IT_number 1
_space_group_name_Hall 'P 1'
loop_
_atom_site_label
_atom_site_fract_x
_atom_site_fract_y
_atom_site_fract_z
_atom_site_occupancy
Tl1 0.000 0.000 0.000 1
Tl2 0.500 0.500 0.000 1
Mn1 0.000 0.500 0.500 1
Ir1 0.500 0.000 0.500 1
# E above lowest polymorph = 0.309 eV per atom
# SG = Cmmm
# Magnetization = 3.38 μB per cell
# N(E_F) = 2.67 states/eV per cell
# Calculated formation energy = 0.589 eV per atom


# 3
# Sc4AlPt5 | Alexandria via LeMat-Bulk | GGA-PBE | optimized geometry
data_Sc4AlPt5
_chemical_formula_sum 'Sc4 Al1 Pt5'
_cell_length_a 3.243
_cell_length_b 3.243
_cell_length_c 16.450
_cell_angle_alpha 90.00
_cell_angle_beta 90.00
_cell_angle_gamma 90.00
_space_group_name_H-M_alt 'P 1'
_space_group_IT_number 1
_space_group_name_Hall 'P 1'
loop_
_atom_site_label
_atom_site_fract_x
_atom_site_fract_y
_atom_site_fract_z
_atom_site_occupancy
Sc1 0.000 0.000 0.189 1
Sc2 0.000 0.000 0.811 1
Sc3 0.000 0.000 0.396 1
Sc4 0.000 0.000 0.604 1
Pt1 0.500 0.500 0.912 1
Pt2 0.500 0.500 0.709 1
Pt3 0.500 0.500 0.088 1
Pt4 0.500 0.500 0.500 1
Pt5 0.500 0.500 0.291 1
Al1 0.000 0.000 0.000 1
# SG = P4/mmm
# Magnetization = 0.00 μB per cell
# N(E_F) = 4.85 states/eV per cell
# Calculated formation energy = -1.189 eV per atom


Question: Which of these has the highest calculated formation energy?
Answer: MnTl2Ir


Question: What is the magnetization in the second record?
Answer: 3.38 μB per cell


Question: Number 1 is which compound?
Answer: Y5ErTm3